A.
Entry from the Alexandria database: a relaxed Be2CoC2 crystal (GGA-PBE).

a = 4.888 Å, b = 4.888 Å, c = 2.980 Å
α = 90.00°, β = 90.00°, γ = 90.00°
Atoms (fractional coordinates):
1 Be 0.216 0.284 0.000
2 Be 0.284 0.784 0.000
3 Be 0.716 0.216 0.000
4 Be 0.784 0.716 0.000
5 Co 0.000 0.000 0.500
6 Co 0.500 0.500 0.500
7 C 0.107 0.607 0.500
8 C 0.393 0.107 0.500
9 C 0.607 0.893 0.500
10 C 0.893 0.393 0.500

**Symmetry**: P4/mbm (127)
**Magnetization**: 0.00 μB/f.u.
**Mass density**: 4.7 Mg/m³

=====

B.
Entry from the Alexandria database: a relaxed Be2CoC2 crystal (GGA-PBE).

a = 3.059 Å, b = 3.059 Å, c = 7.586 Å
α = 90.00°, β = 90.00°, γ = 90.00°
Atoms (fractional coordinates):
1 Be 0.000 0.500 0.250
2 Be 0.000 0.500 0.750
3 Be 0.500 0.000 0.250
4 Be 0.500 0.000 0.750
5 Co 0.000 0.000 0.000
6 Co 0.500 0.500 0.500
7 C 0.000 0.000 0.403
8 C 0.000 0.000 0.597
9 C 0.500 0.500 0.097
10 C 0.500 0.500 0.903

**Symmetry**: I4/mmm (139)
**Magnetization**: 0.71 μB/f.u.
**Mass density**: 4.7 Mg/m³

=====

Name the least stable of them. B.

=====

A.
Entry from the Alexandria database: a relaxed Sc2BeCoC crystal (GGA-PBE).

a = 4.545 Å, b = 4.545 Å, c = 3.336 Å
α = 90.00°, β = 90.00°, γ = 90.00°
Atoms (fractional coordinates):
1 Sc 0.000 0.500 0.000
2 Sc 0.500 0.000 0.000
3 Be 0.000 0.000 0.500
4 Co 0.500 0.500 0.500
5 C 0.000 0.000 0.000

**Symmetry**: P4/mmm (123)
**Magnetization**: 0.02 μB/f.u.
**Mass density**: 4.1 Mg/m³

=====

B.
Entry from the Alexandria database: a relaxed Sc2BeCoC crystal (GGA-PBE).

a = 4.509 Å, b = 4.509 Å, c = 3.583 Å
α = 90.00°, β = 90.00°, γ = 90.00°
Atoms (fractional coordinates):
1 Sc 0.000 0.500 0.000
2 Sc 0.500 0.000 0.000
3 Be 0.000 0.000 0.500
4 Co 0.500 0.500 0.500
5 C 0.500 0.500 0.000

**Symmetry**: P4/mmm (123)
**Magnetization**: 0.00 μB/f.u.
**Mass density**: 3.9 Mg/m³

=====

Name the least stable of them. A.